1) Below is crystalline TlFeRh at its relaxed geometry, with properties calculated at the PBE level.

a b c (Å): 8.300 3.687 7.275
angles (deg): 90.00 102.53 90.00
Space group C2/m (No. 12)
Symmetry-distinct sites (fractional):
Tl1 0.169 0.000 0.131 x4
Fe1 0.132 0.500 0.436 x4
Rh1 0.095 0.000 0.678 x4

DOS at the Fermi energy	8.3	states/eV per cell

---

2) Below is crystalline TlFeRh at its relaxed geometry, with properties calculated at the PBE level.

a b c (Å): 2.950 4.208 9.885
angles (deg): 85.25 81.62 70.28
Space group P-1 (No. 2)
Symmetry-distinct sites (fractional):
Tl1 0.035 0.292 0.139 x2
Fe1 0.118 0.712 0.556 x2
Rh1 0.349 0.145 0.671 x2

DOS at the Fermi energy	4.6	states/eV per cell

---

Verdict on stability: 2) comes out at the bottom.

---

1) Below is crystalline TmFeRh2 at its relaxed geometry, with properties calculated at the PBE level.

a b c (Å): 3.228 3.228 6.278
angles (deg): 90.00 90.00 90.00
Space group P4/mmm (No. 123)
Symmetry-distinct sites (fractional):
Tm1 0.000 0.000 0.000 x1
Fe1 0.000 0.000 0.500 x1
Rh1 0.500 0.500 0.278 x2

DOS at the Fermi energy	3.3	states/eV per cell

---

2) Below is crystalline TmFeRh2 at its relaxed geometry, with properties calculated at the PBE level.

a b c (Å): 4.370 4.370 3.405
angles (deg): 90.00 90.00 90.00
Space group P4/mmm (No. 123)
Symmetry-distinct sites (fractional):
Tm1 0.000 0.000 0.000 x1
Fe1 0.500 0.500 0.000 x1
Rh1 0.000 0.500 0.500 x2

DOS at the Fermi energy	3.7	states/eV per cell

---

3) Below is crystalline TmFeRh2 at its relaxed geometry, with properties calculated at the PBE level.

a b c (Å): 6.384 6.384 6.384
angles (deg): 90.00 90.00 90.00
Space group Fm-3m (No. 225)
Symmetry-distinct sites (fractional):
Tm1 0.000 0.000 0.000 x4
Fe1 0.000 0.000 0.500 x4
Rh1 0.250 0.250 0.250 x8

DOS at the Fermi energy	14.4	states/eV per cell

---

Verdict on stability: 1) comes out at the bottom.

---

1) Below is crystalline VFe3Rh at its relaxed geometry, with properties calculated at the PBE level.

a b c (Å): 4.566 4.566 4.566
angles (deg): 90.00 90.00 90.00
Space group Pm-3m (No. 221)
Symmetry-distinct sites (fractional):
V1 0.000 0.000 0.000 x1
Fe1 0.000 0.500 0.500 x3
Rh1 0.500 0.500 0.500 x1

DOS at the Fermi energy	9.7	states/eV per cell

---

2) Below is crystalline VFe3Rh at its relaxed geometry, with properties calculated at the PBE level.

a b c (Å): 4.185 4.185 4.185
angles (deg): 90.00 90.00 90.00
Space group Pm-3m (No. 221)
Symmetry-distinct sites (fractional):
V1 0.000 0.000 0.000 x1
Fe1 0.000 0.000 0.500 x3
Rh1 0.500 0.500 0.500 x1

DOS at the Fermi energy	5.5	states/eV per cell

---

Verdict on stability: 1) comes out at the bottom.